(1)
First-principles (PBEsol) data for a relaxed Zn2NiHgSb crystal, as listed in Alexandria. Values from VASP.

Properties
* total DFT energy (no corrections): -12.9 eV/cell
* energy relative to the elements, uncorrected: 0.3086 eV per atom

```
&SYSTEM
  ibrav = 0, nat = 5, ntyp = 4
/
ATOMIC_SPECIES
Zn 65.41 Zn.upf
Ni 58.69 Ni.upf
Hg 200.59 Hg.upf
Sb 121.76 Sb.upf
CELL_PARAMETERS angstrom
4.5313 0.0000 0.0000
0.0000 4.5313 0.0000
0.0000 0.0000 4.8626
ATOMIC_POSITIONS angstrom
Zn 0.0000 2.2657 0.0000
Zn 2.2657 0.0000 0.0000
Ni 0.0000 0.0000 0.0000
Hg 0.0000 0.0000 2.4313
Sb 2.2657 2.2657 2.4313
```

(2)
First-principles (PBEsol) data for a relaxed ScSe3 crystal, as listed in Alexandria. Values from VASP.

Properties
* total DFT energy (no corrections): -21.1 eV/cell
* energy relative to the elements, uncorrected: -0.7310 eV per atom

```
&SYSTEM
  ibrav = 0, nat = 4, ntyp = 2
/
ATOMIC_SPECIES
Sc 44.96 Sc.upf
Se 78.96 Se.upf
CELL_PARAMETERS angstrom
3.7757 0.0000 0.0000
0.0000 5.6363 0.0000
0.0000 0.0000 3.9066
ATOMIC_POSITIONS angstrom
Sc 0.0000 0.0000 0.0000
Se 0.0000 2.8182 1.0846
Se 1.8879 0.0000 1.8033
Se 1.8879 2.8182 3.0873
```

(3)
First-principles (PBEsol) data for a relaxed Y4SiS3 crystal, as listed in Alexandria. Values from VASP.

Properties
* total DFT energy (no corrections): -61.0 eV/cell
* energy relative to the elements, uncorrected: -1.8563 eV per atom

```
&SYSTEM
  ibrav = 0, nat = 8, ntyp = 3
/
ATOMIC_SPECIES
Y 88.91 Y.upf
Si 28.09 Si.upf
S 32.06 S.upf
CELL_PARAMETERS angstrom
-2.7697 2.7697 5.5524
2.7697 -2.7697 5.5524
2.7697 2.7697 -5.5524
ATOMIC_POSITIONS angstrom
Y 2.7697 0.0000 0.0000
Y 0.0000 0.0000 2.7701
Y 0.0000 2.7697 0.0000
Y 0.0000 0.0000 8.3347
Si 0.0000 0.0000 0.0000
S 2.7697 0.0000 2.7762
S 0.0000 0.0000 5.5524
S 0.0000 2.7697 2.7762
```

(4)
First-principles (PBEsol) data for a relaxed CrMoAs2 crystal, as listed in Alexandria. Values from VASP.

Properties
* total DFT energy (no corrections): -32.3 eV/cell
* ΔE to the lowest computed polymorph: 219 meV/atom
* energy of formation from the pure elements: -0.01 eV per atom

```
&SYSTEM
  ibrav = 0, nat = 4, ntyp = 3
/
ATOMIC_SPECIES
Cr 52.00 Cr.upf
Mo 95.94 Mo.upf
As 74.92 As.upf
CELL_PARAMETERS angstrom
3.0265 0.0000 0.0000
0.0000 3.0265 0.0000
0.0000 0.0000 6.0295
ATOMIC_POSITIONS angstrom
Cr 0.0000 0.0000 0.0000
Mo 0.0000 0.0000 3.0148
As 1.5133 1.5133 1.4499
As 1.5133 1.5133 4.5796
```

> Which formula does entry 1 have?

Zn2NiHgSb

> Which value of total DFT energy (no corrections) does entry 4 give?

-32.3 eV/cell

> What is the formula in the third record?

Y4SiS3